Entry 1:
# TbTm2N

An optimized crystal structure of TbTm2N (PBE-GGA, the Alexandria database).

abc: 3.430 3.430 9.079
angles: 79.11 79.11 60.00
Sites, in units of the cell vectors:
N: 0.000 0.000 0.000
Tm: 0.717 0.717 0.849
Tm: 0.283 0.283 0.151
Tb: 0.500 0.500 0.500

Calculated values
E above lowest polymorph ... 0.0 meV per atom
Formation energy from raw total energies ... -828 meV per atom

---

Entry 2:
# Ti2RuO

An optimized crystal structure of Ti2RuO (PBE-GGA, the Alexandria database).

abc: 2.782 2.782 6.415
angles: 90.00 90.00 90.00
Sites, in units of the cell vectors:
Ti: 0.000 0.000 0.782
Ti: 0.000 0.000 0.218
O: 0.500 0.500 0.000
Ru: 0.500 0.500 0.500

Calculated values
Formation energy from raw total energies ... -1011 meV per atom

---

Entry 3:
# Ba2LiAg6Hg

An optimized crystal structure of Ba2LiAg6Hg (PBE-GGA, the Alexandria database).

abc: 7.281 7.283 7.273
angles: 59.97 59.98 89.99
Sites, in units of the cell vectors:
Li: 0.000 0.000 0.000
Hg: 0.500 0.500 0.000
Ag: 0.231 0.769 0.000
Ag: 0.231 0.231 0.000
Ag: 0.769 0.231 0.000
Ag: 0.769 0.769 0.000
Ag: 0.231 0.231 0.538
Ag: 0.769 0.769 0.462
Ba: 0.750 0.250 0.500
Ba: 0.250 0.750 0.500

Calculated values
ΔH_f (0 K) ... -0.038 eV per atom

---

Let's list total moment in order: 0.0, 0.0, 0.0 Bohr magnetons per cell.